P) Dy2AuBr: relaxed, GGA-PBE.

Computed properties:
Total magnetization = 0.00 μB/f.u.
Symmetry = R-3m

Cell and atoms, written as POSCAR:
```
Dy2AuBr
1.0
-0.725 1.583 -4.069
-3.888 -0.712 -1.991
-4.511 7.354 1.258
Au Br Dy
1 1 2
direct
0.500 0.500 0.500 Au
0.000 0.000 0.000 Br
0.112 0.112 0.663 Dy
0.888 0.888 0.337 Dy
```

Q) Dy2AuBr: relaxed, GGA-PBE.

Computed properties:
Total magnetization = 0.00 μB/f.u.
Symmetry = R3m

Cell and atoms, written as POSCAR:
```
Dy2AuBr
1.0
4.031 0.000 0.000
2.016 3.491 0.000
2.016 1.164 7.921
Dy Au Br
2 1 1
direct
0.071 0.071 0.787 Dy
0.264 0.264 0.209 Dy
0.668 0.668 0.996 Au
0.497 0.497 0.508 Br
```

What should be chosen as the most stable of them? Choose Q).

P) Eu2AuBr: relaxed, GGA-PBE.

Computed properties:
Total magnetization = 14.41 μB/f.u.
Symmetry = P4/mmm

Cell and atoms, written as POSCAR:
```
Eu2AuBr
1.0
3.746 0.000 0.000
0.000 3.746 0.000
0.000 0.000 8.188
Eu Au Br
2 1 1
direct
0.000 0.000 0.778 Eu
0.000 0.000 0.222 Eu
0.500 0.500 0.000 Au
0.500 0.500 0.500 Br
```

Q) Eu2AuBr: relaxed, GGA-PBE.

Computed properties:
Total magnetization = 14.32 μB/f.u.
Symmetry = R-3m

Cell and atoms, written as POSCAR:
```
Eu2AuBr
1.0
-2.794 -3.232 -0.619
-0.216 -1.961 -3.839
4.490 -6.930 0.860
Eu Au Br
2 1 1
direct
0.740 0.740 0.779 Eu
0.260 0.260 0.221 Eu
0.000 0.000 0.000 Au
0.500 0.500 0.500 Br
```

What should be chosen as the most stable of them? Choose Q).